[1]
Compound: Y4Ho19Tm6
Source: Alexandria
Functional: PBE
Structure: optimized geometry

Summary:
Its total energy is -4.412 eV/atom. The calculation puts the energy relative to the elements at 0.404 eV per atom.

Geometry as extended XYZ:
```
29
Lattice="-6.202 6.202 6.202 6.202 -6.202 6.202 6.202 6.202 -6.202" Properties=species:S:1:pos:R:3 pbc="T T T"
Y 3.993 3.993 -3.993
Y 3.993 -3.993 3.993
Y 2.209 2.209 2.209
Y -3.993 3.993 3.993
Ho 0.000 0.000 0.000
Ho 3.279 0.000 0.000
Ho 9.125 0.000 0.000
Ho 6.992 -2.784 2.937
Ho 3.418 3.265 -0.790
Ho 3.265 -0.790 3.418
Ho 0.000 3.279 0.000
Ho 0.000 0.000 3.279
Ho 8.986 3.265 0.790
Ho 2.937 6.992 -2.784
Ho 5.412 2.784 2.937
Ho -0.790 3.418 3.265
Ho 2.937 5.412 2.784
Ho 2.784 2.937 5.412
Ho 0.000 9.125 0.000
Ho 0.000 0.000 9.125
Ho 3.265 0.790 8.986
Ho -2.784 2.937 6.992
Ho 0.790 8.986 3.265
Tm 6.202 0.000 1.594
Tm 6.202 4.608 0.000
Tm 1.594 6.202 0.000
Tm 4.608 0.000 6.202
Tm 0.000 1.594 6.202
Tm 0.000 6.202 4.608
```

[2]
Compound: Ni4AsPt
Source: Alexandria
Functional: PBE
Structure: optimized geometry

Summary:
Its total energy is -5.548 eV/atom. The excess energy over the best structure of this formula in the dataset comes out at 0 meV per atom. The calculation puts the energy relative to the elements at 0.087 eV per atom.

Geometry as extended XYZ:
```
12
Lattice="-3.134 3.134 4.246 3.134 -3.134 4.246 3.134 3.134 -4.246" Properties=species:S:1:pos:R:3 pbc="T T T"
Ni 0.955 -0.780 1.173
Ni 3.921 0.612 0.950
Ni 0.955 2.354 -1.173
Ni 0.787 0.612 3.296
Ni 2.347 2.522 0.950
Ni 2.179 0.780 5.419
Ni -0.787 2.522 3.296
Ni 2.179 3.913 3.073
As 3.134 1.567 -1.062
As 0.000 1.567 5.308
Pt 0.000 1.567 1.062
Pt 3.134 1.567 3.185
```

[3]
Compound: LiCeGe
Source: Alexandria
Functional: PBE
Structure: optimized geometry

Summary:
Its total energy is -4.336 eV/atom. The calculation puts the energy relative to the elements at -0.180 eV per atom.

Geometry as extended XYZ:
```
6
Lattice="4.308 0.000 0.000 0.000 4.308 0.000 0.000 0.000 7.618" Properties=species:S:1:pos:R:3 pbc="T T T"
Li 1.077 1.077 0.984
Li 3.231 3.231 6.634
Ce 1.077 3.231 3.809
Ce 3.231 1.077 3.809
Ge 1.077 1.077 5.881
Ge 3.231 3.231 1.737
```

[4]
Compound: Na2GaHg5
Source: Alexandria
Functional: PBE
Structure: optimized geometry

Summary:
Its total energy is -1.033 eV/atom. The excess energy over the best structure of this formula in the dataset comes out at 4 meV per atom. The calculation puts the energy relative to the elements at -0.137 eV per atom.

Geometry as extended XYZ:
```
16
Lattice="6.510 0.000 0.000 0.000 12.349 0.000 0.000 0.000 4.927" Properties=species:S:1:pos:R:3 pbc="T T T"
Na 1.279 1.694 0.000
Na 1.976 7.868 0.000
Na 4.534 4.481 0.000
Na 5.231 10.655 0.000
Ga 0.000 6.174 2.464
Ga 3.255 0.000 2.464
Hg 0.000 0.000 2.464
Hg 0.346 9.185 2.464
Hg 1.299 4.833 0.000
Hg 1.956 11.008 0.000
Hg 2.909 3.011 2.464
Hg 3.255 6.174 2.464
Hg 3.601 9.338 2.464
Hg 4.555 1.341 0.000
Hg 5.211 7.516 0.000
Hg 6.164 3.164 2.464
```

[5]
Compound: Sr2MgPaPd6
Source: Alexandria
Functional: PBE
Structure: optimized geometry

Summary:
Its total energy is -5.053 eV/atom. The calculation puts the energy relative to the elements at -0.492 eV per atom.

Geometry as extended XYZ:
```
10
Lattice="5.753 0.000 0.000 2.873 6.275 0.000 2.857 -0.410 6.598" Properties=species:S:1:pos:R:3 pbc="T T T"
Sr 1.432 1.321 1.219
Sr 10.050 4.545 5.380
Mg 4.313 3.138 0.000
Pa 4.305 -0.205 3.299
Pd 2.919 4.590 1.764
Pd 4.307 2.397 2.693
Pd 5.696 4.589 1.759
Pd 5.787 1.276 4.839
Pd 7.176 3.468 3.906
Pd 8.564 1.276 4.834
```

[6]
Compound: Zr2FeHg
Source: Alexandria
Functional: PBE
Structure: optimized geometry

Summary:
Its total energy is -6.626 eV/atom. The calculation puts the energy relative to the elements at -0.161 eV per atom.

Geometry as extended XYZ:
```
4
Lattice="3.215 0.000 0.000 0.000 3.215 0.000 0.000 0.000 7.427" Properties=species:S:1:pos:R:3 pbc="T T T"
Zr 0.000 0.000 1.562
Zr 0.000 0.000 5.865
Fe 1.608 1.608 0.000
Hg 1.608 1.608 3.713
```

[7]
Compound: Nd3YSb2
Source: Alexandria
Functional: PBE
Structure: optimized geometry

Summary:
Its total energy is -5.458 eV/atom. The excess energy over the best structure of this formula in the dataset comes out at 209 meV per atom.

Geometry as extended XYZ:
```
12
Lattice="-3.605 7.313 3.975 3.605 -7.313 3.975 3.605 7.313 -3.975" Properties=species:S:1:pos:R:3 pbc="T T T"
Nd 3.605 -3.083 1.987
Nd 0.000 0.000 1.987
Nd 3.605 3.083 1.987
Nd 0.000 4.229 1.987
Nd 0.000 0.000 5.962
Nd 0.000 10.396 1.987
Y 3.605 0.000 0.000
Y 0.000 7.313 0.000
Sb 1.315 2.107 0.000
Sb 1.315 -2.107 3.975
Sb 2.290 9.419 0.000
Sb 2.290 5.206 3.975
```

[8]
Compound: Na5H29I2O24
Source: Alexandria
Functional: PBE
Structure: optimized geometry

Summary:
Its total energy is -4.794 eV/atom.

Geometry as extended XYZ:
```
60
Lattice="8.759 0.000 0.000 3.995 7.797 0.000 2.520 -0.213 9.016" Properties=species:S:1:pos:R:3 pbc="T T T"
Na 0.000 0.000 0.000
Na 5.789 1.983 5.815
Na 6.424 5.844 1.093
Na 8.850 1.741 7.923
Na 9.486 5.602 3.201
H 3.659 5.119 1.812
H 5.956 6.434 6.609
H 2.478 -0.040 5.913
H 5.624 4.139 7.379
H 3.854 4.693 0.312
H 2.537 1.017 0.784
H 5.263 3.779 3.925
H 7.041 7.119 3.618
H 6.588 5.629 3.818
H 8.404 7.244 6.553
H 5.275 0.080 8.363
H 7.197 3.887 7.586
H 5.744 3.098 1.541
H 5.365 0.766 2.695
H 6.377 3.899 0.000
H 9.910 6.818 6.321
H 9.531 4.487 7.475
H 8.077 3.697 1.430
H 10.000 7.505 0.653
H 6.870 0.340 2.463
H 8.687 1.955 5.198
H 8.234 0.465 5.398
H 10.012 3.805 5.091
H 12.737 6.567 8.232
H 11.420 2.892 8.703
H 9.651 3.446 1.637
H 12.797 7.625 3.103
H 9.318 1.150 2.407
H 11.615 2.466 7.204
I 2.834 2.462 3.740
I 12.441 5.123 5.276
O 2.048 2.256 2.095
O 3.502 3.103 5.568
O 2.594 0.787 4.404
O 4.053 5.415 0.959
O 6.639 7.146 6.679
O 5.480 4.532 4.560
O 2.423 0.180 0.275
O 6.289 3.464 7.689
O 4.613 2.298 3.234
O 7.216 6.194 3.290
O 9.338 7.589 6.583
O 8.732 4.361 8.024
O 6.543 3.223 0.992
O 5.937 -0.004 2.433
O 8.059 1.391 5.726
O 10.661 5.287 5.782
O 8.986 4.120 1.327
O 12.852 7.404 8.740
O 9.794 3.053 4.456
O 8.636 0.439 2.337
O 11.221 2.170 8.057
O 12.681 6.797 4.612
O 11.773 4.481 3.448
O 13.227 5.329 6.920
```

[9]
Compound: BaTaCl3
Source: Alexandria
Functional: PBE
Structure: optimized geometry

Summary:
Its total energy is -4.673 eV/atom. The excess energy over the best structure of this formula in the dataset comes out at 0 meV per atom.

Geometry as extended XYZ:
```
5
Lattice="4.982 0.000 0.000 0.000 4.982 0.000 0.000 0.000 4.982" Properties=species:S:1:pos:R:3 pbc="T T T"
Ba 0.000 0.000 0.000
Ta 2.491 2.491 2.491
Cl 0.000 2.491 2.491
Cl 2.491 0.000 2.491
Cl 2.491 2.491 0.000
```

[10]
Compound: HfMgTiTc2
Source: Alexandria
Functional: PBE
Structure: optimized geometry

Summary:
Its total energy is -6.709 eV/atom. The calculation puts the energy relative to the elements at 1.326 eV per atom.

Geometry as extended XYZ:
```
5
Lattice="4.776 0.000 0.000 0.000 4.776 0.000 0.000 0.000 4.875" Properties=species:S:1:pos:R:3 pbc="T T T"
Hf 0.000 0.000 0.000
Mg 2.388 2.388 2.438
Ti 0.000 0.000 2.438
Tc 0.000 2.388 0.000
Tc 2.388 0.000 0.000
```

[11]
Compound: GaAsAuC
Source: Alexandria
Functional: PBE
Structure: optimized geometry

Summary:
Its total energy is -4.582 eV/atom. The excess energy over the best structure of this formula in the dataset comes out at 167 meV per atom. The calculation puts the energy relative to the elements at 0.462 eV per atom.

Geometry as extended XYZ:
```
4
Lattice="3.369 0.000 0.000 1.684 4.157 0.000 0.010 1.580 5.362" Properties=species:S:1:pos:R:3 pbc="T T T"
Ga 0.000 0.000 0.000
As 1.694 3.704 3.819
Au 1.688 2.238 1.808
C 1.684 1.017 0.090
```

[12]
Compound: Tb4AgPd12
Source: Alexandria
Functional: PBE
Structure: optimized geometry

Summary:
Its total energy is -5.662 eV/atom. The calculation puts the energy relative to the elements at -0.739 eV per atom.

Geometry as extended XYZ:
```
17
Lattice="-4.277 4.277 4.277 4.277 -4.277 4.277 4.277 4.277 -4.277" Properties=species:S:1:pos:R:3 pbc="T T T"
Tb 2.138 2.138 -2.138
Tb 2.138 -2.138 2.138
Tb -2.138 2.138 2.138
Tb 2.138 2.138 2.138
Ag 0.000 0.000 0.000
Pd 2.582 0.000 0.000
Pd 5.971 0.000 0.000
Pd 4.277 2.138 0.000
Pd 4.277 0.000 2.138
Pd 0.000 2.582 0.000
Pd 0.000 0.000 2.582
Pd 2.138 4.277 0.000
Pd 2.138 0.000 4.277
Pd 0.000 5.971 0.000
Pd 0.000 0.000 5.971
Pd 0.000 4.277 2.138
Pd 0.000 2.138 4.277
```